{"formula": "MnCd2PbO6", "functional": "PBE with a Hubbard U", "state": "optimized geometry", "magnetic_moment_mub_per_cell": 5.9, "final_energy_ev_per_atom": -5.314, "crystal_system": "monoclinic", "lattice_angstrom": [[5.5122, 0.0000, 0.0064], [0.0000, 5.6487, 0.0000], [0.0593, 0.0000, 7.9616]], "species": ["Pb", "Pb", "O", "O", "O", "O", "O", "O", "O", "O", "O", "O", "O", "O", "Cd", "Cd", "Cd", "Cd", "Mn", "Mn"], "frac_coords": [[0.0000, 0.5000, 0.0000], [0.5000, 0.0000, 0.5000], [0.7867, 0.8147, 0.9410], [0.6160, 0.0547, 0.2320], [0.1791, 0.2171, 0.4320], [0.2867, 0.6853, 0.4410], [0.7133, 0.3147, 0.5590], [0.8840, 0.5547, 0.2680], [0.1160, 0.4453, 0.7320], [0.3209, 0.7171, 0.0680], [0.2133, 0.1853, 0.0590], [0.6791, 0.2829, 0.9320], [0.8209, 0.7829, 0.5680], [0.3840, 0.9453, 0.7680], [0.0146, 0.9505, 0.2499], [0.5146, 0.5495, 0.7499], [0.9854, 0.0495, 0.7501], [0.4854, 0.4505, 0.2501], [0.5000, 0.0000, 0.0000], [0.0000, 0.5000, 0.5000]]}